1.
The following is a DFT calculation (GGA-PBE) of a geometry-optimized Ti3Nb structure.

Output
- Symmetry: Imm2
- Crystal system: orthorhombic
- Density: 5.587 g/cm3
- E_form: 6 kJ per mole of atoms

Cell lengths 2.8238, 5.2682, 5.5912 Å; angles 118.11, 104.63, 90.00 degrees
Element x y z (fractional)
1 Nb 0.0000 0.0333 0.0000
2 Ti 0.7522 0.0572 0.5045
3 Ti 0.2478 0.5528 0.4955
4 Ti 0.5000 0.5234 0.0000



2.
The following is a DFT calculation (GGA-PBE) of a geometry-optimized Ti5Nb3 structure.

Output
- Symmetry: Pmm2
- Crystal system: orthorhombic
- Density: 6.136 g/cm3
- E_form: 4 kJ per mole of atoms

Cell lengths 3.2806, 6.5744, 6.5006 Å; angles 90.00, 90.00, 90.00 degrees
Element x y z (fractional)
1 Ti 0.0000 0.7314 0.5031
2 Ti 0.5000 0.0000 0.2561
3 Ti 0.5000 0.5000 0.7738
4 Nb 0.0000 0.7590 0.9982
5 Nb 0.5000 0.0000 0.7398
6 Nb 0.0000 0.2410 0.9982
7 Ti 0.5000 0.5000 0.2275
8 Ti 0.0000 0.2686 0.5031



3.
The following is a DFT calculation (GGA-PBE) of a geometry-optimized Ti3Nb13 structure.

Output
- Symmetry: Amm2
- Crystal system: orthorhombic
- Density: 7.787 g/cm3
- E_form: 0 kJ per mole of atoms

Cell lengths 6.6041, 6.6041, 6.6074 Å; angles 90.00, 90.00, 89.69 degrees
Element x y z (fractional)
1 Nb 0.7479 0.2521 0.5000
2 Nb 0.7498 0.7495 0.5000
3 Nb 0.0003 0.5003 0.7503
4 Nb 0.0003 0.5003 0.2497
5 Nb 0.2497 0.7503 0.0000
6 Nb 0.4997 0.9997 0.7503
7 Ti 0.0020 0.9980 0.7402
8 Nb 0.2522 0.7478 0.5000
9 Nb 0.2505 0.2502 0.5000
10 Nb 0.2526 0.2505 0.0000
11 Ti 0.7450 0.2550 0.0000
12 Nb 0.4997 0.9997 0.2497
13 Ti 0.0020 0.9980 0.2598
14 Nb 0.7495 0.7474 0.0000
15 Nb 0.4994 0.5006 0.7506
16 Nb 0.4994 0.5006 0.2494